# 1
Below is a relaxed structure of TmCu2S3, with properties calculated at the PBE level.

Lattice parameters (Å, degrees): 7.0988 7.0988 4.7225 90.00 90.00 111.62
Sites, in units of the cell vectors:
Tm 0.2409 0.7591 0.7500
Tm 0.7591 0.2409 0.2500
Cu 0.3006 0.3006 0.0000
Cu 0.3006 0.3006 0.5000
Cu 0.6994 0.6994 0.0000
Cu 0.6994 0.6994 0.5000
S 0.0442 0.3459 0.7500
S 0.3459 0.0442 0.2500
S 0.3848 0.6152 0.2500
S 0.6152 0.3848 0.7500
S 0.6541 0.9558 0.7500
S 0.9558 0.6541 0.2500

Summary:
The theoretical density comes out at 5.9 g/cm³. For the uncorrected formation energy, the calculation gives -0.76 eV/atom. As for the electronic total energy: -59.154 eV per cell.


# 2
Below is a relaxed structure of Tm2Cu4S5, with properties calculated at the PBE level.

Lattice parameters (Å, degrees): 16.0098 16.0098 16.0098 13.64 13.64 13.64
Sites, in units of the cell vectors:
Tm 0.1328 0.1328 0.1328
Tm 0.8672 0.8672 0.8672
Cu 0.3112 0.3112 0.3112
Cu 0.4142 0.4142 0.4142
Cu 0.5858 0.5858 0.5858
Cu 0.6888 0.6888 0.6888
S 0.2339 0.2339 0.2339
S 0.3666 0.3666 0.3666
S 0.5000 0.5000 0.5000
S 0.6334 0.6334 0.6334
S 0.7661 0.7661 0.7661

Summary:
The theoretical density comes out at 6.3 g/cm³. For the uncorrected formation energy, the calculation gives -0.90 eV/atom. As for the electronic total energy: -55.831 eV per cell.


# 3
Below is a relaxed structure of Tm4Cu2S, with properties calculated at the PBE level.

Lattice parameters (Å, degrees): 6.5525 6.5525 8.1607 123.61 123.61 33.42
Sites, in units of the cell vectors:
Tm 0.0935 0.0935 0.3938
Tm 0.3256 0.3256 0.9177
Tm 0.6744 0.6744 0.0823
Tm 0.9065 0.9065 0.6062
Cu 0.3854 0.3854 0.3261
Cu 0.6146 0.6146 0.6739
S 0.0000 0.0000 0.0000

Summary:
The theoretical density comes out at 8.8 g/cm³. For the uncorrected formation energy, the calculation gives -0.69 eV/atom. As for the electronic total energy: -35.023 eV per cell.


# 4
Below is a relaxed structure of Tm6Cu2S, with properties calculated at the PBE level.

Lattice parameters (Å, degrees): 6.3212 7.0700 11.5022 90.00 120.85 90.00
Sites, in units of the cell vectors:
Tm 0.0950 0.1960 0.4342
Tm 0.0950 0.3040 0.9342
Tm 0.2605 0.6689 0.4292
Tm 0.2605 0.8311 0.9292
Tm 0.3968 0.0351 0.2445
Tm 0.3968 0.4649 0.7445
Tm 0.6032 0.5351 0.2555
Tm 0.6032 0.9649 0.7555
Tm 0.7395 0.1689 0.0708
Tm 0.7395 0.3311 0.5708
Tm 0.9050 0.6960 0.0658
Tm 0.9050 0.8040 0.5658
Cu 0.1709 0.1128 0.7363
Cu 0.1709 0.3872 0.2363
Cu 0.8291 0.6128 0.7637
Cu 0.8291 0.8872 0.2637
S 0.5000 0.0000 0.5000
S 0.5000 0.5000 0.0000

Summary:
The theoretical density comes out at 8.8 g/cm³. For the uncorrected formation energy, the calculation gives -0.53 eV/atom. As for the electronic total energy: -87.836 eV per cell.


# 5
Below is a relaxed structure of Tm3Cu5S12, with properties calculated at the PBE level.

Lattice parameters (Å, degrees): 12.6426 12.6426 12.6426 109.47 109.47 109.47
Sites, in units of the cell vectors:
Tm 0.1250 0.2500 0.3750
Tm 0.1250 0.3750 0.7500
Tm 0.2500 0.3750 0.1250
Tm 0.2500 0.8750 0.6250
Tm 0.3750 0.1250 0.2500
Tm 0.3750 0.7500 0.1250
Tm 0.6250 0.2500 0.8750
Tm 0.6250 0.8750 0.7500
Tm 0.7500 0.1250 0.3750
Tm 0.7500 0.6250 0.8750
Tm 0.8750 0.6250 0.2500
Tm 0.8750 0.7500 0.6250
Cu 0.0000 0.0000 0.0000
Cu 0.0000 0.0000 0.5000
Cu 0.0000 0.5000 0.0000
Cu 0.0000 0.5000 0.5000
Cu 0.1250 0.7500 0.8750
Cu 0.1250 0.8750 0.2500
Cu 0.2500 0.1250 0.8750
Cu 0.2500 0.6250 0.3750
Cu 0.3750 0.2500 0.6250
Cu 0.3750 0.6250 0.7500
Cu 0.5000 0.0000 0.0000
Cu 0.5000 0.0000 0.5000
Cu 0.5000 0.5000 0.0000
Cu 0.5000 0.5000 0.5000
Cu 0.6250 0.3750 0.2500
Cu 0.6250 0.7500 0.3750
Cu 0.7500 0.3750 0.6250
Cu 0.7500 0.8750 0.1250
Cu 0.8750 0.1250 0.7500
Cu 0.8750 0.2500 0.1250
S 0.0331 0.2071 0.1246
S 0.0331 0.3260 0.9085
S 0.0824 0.7071 0.6740
S 0.0824 0.8754 0.4085
S 0.0915 0.6246 0.4176
S 0.0915 0.9669 0.6740
S 0.1246 0.0331 0.2071
S 0.1246 0.5915 0.9176
S 0.1740 0.2071 0.5824
S 0.1740 0.4669 0.5915
S 0.2071 0.1246 0.0331
S 0.2071 0.5824 0.1740
S 0.2929 0.3260 0.9176
S 0.2929 0.4669 0.3754
S 0.3260 0.9085 0.0331
S 0.3260 0.9176 0.2929
S 0.3754 0.2929 0.4669
S 0.3754 0.5824 0.9085
S 0.4085 0.0824 0.8754
S 0.4085 0.8260 0.5331
S 0.4176 0.0915 0.6246
S 0.4176 0.8260 0.7929
S 0.4669 0.3754 0.2929
S 0.4669 0.5915 0.1740
S 0.5331 0.4085 0.8260
S 0.5331 0.6246 0.7071
S 0.5824 0.1740 0.2071
S 0.5824 0.9085 0.3754
S 0.5915 0.1740 0.4669
S 0.5915 0.9176 0.1246
S 0.6246 0.4176 0.0915
S 0.6246 0.7071 0.5331
S 0.6740 0.0824 0.7071
S 0.6740 0.0915 0.9669
S 0.7071 0.5331 0.6246
S 0.7071 0.6740 0.0824
S 0.7929 0.4176 0.8260
S 0.7929 0.8754 0.9669
S 0.8260 0.5331 0.4085
S 0.8260 0.7929 0.4176
S 0.8754 0.4085 0.0824
S 0.8754 0.9669 0.7929
S 0.9085 0.0331 0.3260
S 0.9085 0.3754 0.5824
S 0.9176 0.1246 0.5915
S 0.9176 0.2929 0.3260
S 0.9669 0.6740 0.0915
S 0.9669 0.7929 0.8754

Summary:
The theoretical density comes out at 5.2 g/cm³. For the uncorrected formation energy, the calculation gives -0.67 eV/atom. As for the electronic total energy: -387.686 eV per cell.


# 6
Below is a relaxed structure of TmCu5S4, with properties calculated at the PBE level.

Lattice parameters (Å, degrees): 7.3959 7.3959 7.3959 150.10 124.19 64.61
Sites, in units of the cell vectors:
Tm 0.0000 0.0000 0.0000
Cu 0.0218 0.3193 0.7025
Cu 0.3832 0.6807 0.7025
Cu 0.5000 0.0000 0.5000
Cu 0.6168 0.3193 0.2975
Cu 0.9782 0.6807 0.2975
S 0.2220 0.2220 0.0000
S 0.2766 0.5000 0.7766
S 0.7234 0.5000 0.2234
S 0.7780 0.7780 0.0000

Summary:
The theoretical density comes out at 6.2 g/cm³. For the uncorrected formation energy, the calculation gives -0.56 eV/atom. As for the electronic total energy: -47.015 eV per cell.


# 7
Below is a relaxed structure of TmCuS, with properties calculated at the PBE level.

Lattice parameters (Å, degrees): 7.8877 7.8877 7.8877 31.97 31.97 31.97
Sites, in units of the cell vectors:
Tm 0.0835 0.0835 0.0835
Tm 0.9165 0.9165 0.9165
Cu 0.3276 0.3276 0.3276
Cu 0.6724 0.6724 0.6724
S 0.2138 0.2138 0.2138
S 0.7862 0.7862 0.7862

Summary:
The theoretical density comes out at 7.2 g/cm³. For the uncorrected formation energy, the calculation gives -1.08 eV/atom. As for the electronic total energy: -31.883 eV per cell.


# 8
Below is a relaxed structure of TmU2CuS6, with properties calculated at the PBE level.

Lattice parameters (Å, degrees): 6.1409 6.1409 6.4283 90.00 90.00 90.00
Sites, in units of the cell vectors:
Tm 0.0000 0.0000 0.0000
U 0.0000 0.5000 0.4285
U 0.5000 0.0000 0.4285
Cu 0.5000 0.5000 0.9649
S 0.0000 0.0000 0.5950
S 0.2623 0.2623 0.1787
S 0.2623 0.7377 0.1787
S 0.5000 0.5000 0.6178
S 0.7377 0.2623 0.1787
S 0.7377 0.7377 0.1787

Summary:
The theoretical density comes out at 6.2 g/cm³. For the uncorrected formation energy, the calculation gives -0.98 eV/atom. As for the electronic total energy: -65.693 eV per cell.


# 9
Below is a relaxed structure of YTm4CuS8, with properties calculated at the PBE level.

Lattice parameters (Å, degrees): 7.8562 7.8562 7.8562 59.75 59.75 59.75
Sites, in units of the cell vectors:
Y 0.0000 0.0000 0.0000
Tm 0.0003 0.0003 0.4805
Tm 0.0003 0.4805 0.0003
Tm 0.4805 0.0003 0.0003
Tm 0.6210 0.6210 0.6210
Cu 0.3703 0.3703 0.3703
S 0.2200 0.7517 0.7517
S 0.2429 0.2429 0.2429
S 0.2452 0.2452 0.7508
S 0.2452 0.7508 0.2452
S 0.7508 0.2452 0.2452
S 0.7517 0.2200 0.7517
S 0.7517 0.7517 0.2200
S 0.7545 0.7545 0.7545

Summary:
The theoretical density comes out at 5.3 g/cm³. For the uncorrected formation energy, the calculation gives -1.82 eV/atom. As for the electronic total energy: -86.949 eV per cell.


# 10
Below is a relaxed structure of TmZrCuS4, with properties calculated at the PBE level.

Lattice parameters (Å, degrees): 7.5368 7.5368 7.5368 120.65 119.51 89.86
Sites, in units of the cell vectors:
Tm 0.0000 0.0000 0.0000
Tm 0.5000 0.0000 0.5000
Zr 0.5000 0.0000 0.0000
Zr 0.5000 0.5000 0.5000
Cu 0.1273 0.3773 0.7500
Cu 0.8727 0.6227 0.2500
S 0.2566 0.7469 0.5097
S 0.2590 0.2608 0.5019
S 0.2590 0.7571 0.9981
S 0.2628 0.2531 0.0097
S 0.7372 0.7469 0.9903
S 0.7410 0.2429 0.0019
S 0.7410 0.7392 0.4981
S 0.7434 0.2531 0.4903

Summary:
The theoretical density comes out at 5.0 g/cm³. For the uncorrected formation energy, the calculation gives -1.45 eV/atom. As for the electronic total energy: -87.482 eV per cell.


# 11
Below is a relaxed structure of UCuS3, with properties calculated at the PBE level.

Lattice parameters (Å, degrees): 6.5278 6.5278 8.5481 90.00 90.00 147.09
Sites, in units of the cell vectors:
U 0.2398 0.7602 0.7500
U 0.7602 0.2398 0.2500
Cu 0.0205 0.9795 0.2500
Cu 0.9795 0.0205 0.7500
S 0.1575 0.8425 0.0696
S 0.1575 0.8425 0.4304
S 0.4142 0.5858 0.2500
S 0.5858 0.4142 0.7500
S 0.8425 0.1575 0.5696
S 0.8425 0.1575 0.9304

Summary:
The theoretical density comes out at 6.7 g/cm³. For the uncorrected formation energy, the calculation gives -0.94 eV/atom. As for the electronic total energy: -64.976 eV per cell. The value obtained for the relative energy among the computed polymorphs is 0 meV/atom.


# 12
Below is a relaxed structure of UCuS, with properties calculated at the PBE level.

Lattice parameters (Å, degrees): 10.4732 10.4732 10.4732 160.85 160.85 27.21
Sites, in units of the cell vectors:
U 0.1457 0.1457 0.0000
U 0.8543 0.8543 0.0000
Cu 0.4424 0.4424 0.0000
Cu 0.5576 0.5576 0.0000
S 0.2974 0.2974 0.0000
S 0.7026 0.7026 0.0000

Summary:
The theoretical density comes out at 9.0 g/cm³. For the uncorrected formation energy, the calculation gives -0.29 eV/atom. As for the electronic total energy: -40.749 eV per cell.